i) # Mn5Te3, optimized geometry, DFT PBE-GGA
# Calculated volume (Å³/atom): 19.67
# Total moment (μB per atom): 2.32
# N(E_F) (states/eV/f.u.): 6.9
data_Mn5Te3
_cell_length_a 8.4539
_cell_length_b 8.4539
_cell_length_c 5.0845
_cell_angle_alpha 90.00
_cell_angle_beta 90.00
_cell_angle_gamma 120.00
_symmetry_space_group_name_H-M 'P 63/m c m'
_symmetry_Int_Tables_number 193
_symmetry_space_group_name_Hall '-P 6c 2'
loop_
_atom_site_label
_atom_site_type_symbol
_atom_site_fract_x
_atom_site_fract_y
_atom_site_fract_z
Mn1 Mn 0.0000 0.1840 0.2500
Mn2 Mn 0.3333 0.6667 0.0000
Te1 Te 0.0000 0.3689 0.7500

***

ii) # Mn5Te3, optimized geometry, DFT PBE-GGA
# Calculated volume (Å³/atom): 18.32
# Total moment (μB per atom): 2.12
# N(E_F) (states/eV/f.u.): 6.0
data_Mn5Te3
_cell_length_a 7.9298
_cell_length_b 9.6244
_cell_length_c 3.8401
_cell_angle_alpha 90.00
_cell_angle_beta 90.00
_cell_angle_gamma 90.00
_symmetry_space_group_name_H-M 'C m m m'
_symmetry_Int_Tables_number 65
_symmetry_space_group_name_Hall '-C 2 2'
loop_
_atom_site_label
_atom_site_type_symbol
_atom_site_fract_x
_atom_site_fract_y
_atom_site_fract_z
Mn1 Mn 0.0000 0.0000 0.0000
Mn2 Mn 0.2459 0.5000 0.5000
Mn3 Mn 0.2500 0.2500 0.0000
Te1 Te 0.0000 0.1949 0.5000
Te2 Te 0.0000 0.5000 0.0000

***

Bottom line: ii), by a margin of 44 meV per atom.